1.
# MgSc5Pd6

An optimized crystal structure of MgSc5Pd6 (PBE-GGA, Alexandria).

Calculated values
The total energy is -6.245 eV/atom. The formation energy comes out at -878 meV per atom.

Structure (CIF):
```
data_MgSc5Pd6
_chemical_formula_sum 'Mg1 Sc5 Pd6'
_cell_length_a 4.6636
_cell_length_b 8.0745
_cell_length_c 8.0745
_cell_angle_alpha 120.03
_cell_angle_beta 106.87
_cell_angle_gamma 106.87
_space_group_name_H-M_alt 'P 1'
_space_group_IT_number 1
_space_group_name_Hall 'P 1'
loop_
_atom_site_label
_atom_site_type_symbol
_atom_site_fract_x
_atom_site_fract_y
_atom_site_fract_z
Sc1 Sc 0.0000 0.3326 0.6674
Sc2 Sc 0.0000 0.6674 0.3326
Pd1 Pd 0.2540 0.4232 0.0840
Mg1 Mg 0.0000 0.0000 0.0000
Pd2 Pd 0.7460 0.5768 0.9160
Pd3 Pd 0.7580 0.2577 0.2577
Sc3 Sc 0.5000 0.5000 0.5000
Pd4 Pd 0.7460 0.9160 0.5768
Pd5 Pd 0.2540 0.0840 0.4232
Sc4 Sc 0.5000 0.1622 0.8378
Sc5 Sc 0.5000 0.8378 0.1622
Pd6 Pd 0.2420 0.7423 0.7423
```

2.
# Mg3ScPd12

An optimized crystal structure of Mg3ScPd12 (PBE-GGA, Alexandria).

Calculated values
The total energy is -5.152 eV/atom. The formation energy comes out at -563 meV per atom.

Structure (CIF):
```
data_Mg3ScPd12
_chemical_formula_sum 'Mg3 Sc1 Pd12'
_cell_length_a 3.9834
_cell_length_b 3.9834
_cell_length_c 15.8902
_cell_angle_alpha 90.00
_cell_angle_beta 90.00
_cell_angle_gamma 90.00
_space_group_name_H-M_alt 'P 1'
_space_group_IT_number 1
_space_group_name_Hall 'P 1'
loop_
_atom_site_label
_atom_site_type_symbol
_atom_site_fract_x
_atom_site_fract_y
_atom_site_fract_z
Pd1 Pd 0.0000 0.5000 0.3760
Pd2 Pd 0.0000 0.5000 0.6240
Mg1 Mg 0.0000 0.0000 0.5000
Mg2 Mg 0.0000 0.0000 0.2521
Pd3 Pd 0.0000 0.5000 0.1265
Mg3 Mg 0.0000 0.0000 0.7479
Pd4 Pd 0.5000 0.5000 0.2513
Pd5 Pd 0.5000 0.0000 0.3760
Pd6 Pd 0.5000 0.5000 0.7487
Pd7 Pd 0.5000 0.0000 0.1265
Pd8 Pd 0.5000 0.5000 0.5000
Pd9 Pd 0.5000 0.0000 0.6240
Pd10 Pd 0.0000 0.5000 0.8735
Pd11 Pd 0.5000 0.5000 0.0000
Sc1 Sc 0.0000 0.0000 0.0000
Pd12 Pd 0.5000 0.0000 0.8735
```

3.
# MgScSiPd

An optimized crystal structure of MgScSiPd (PBE-GGA, Alexandria).

Calculated values
The total energy is -5.236 eV/atom. Its formation energy (no corrections) is -0.60 eV per atom.

Structure (CIF):
```
data_MgScSiPd
_chemical_formula_sum 'Mg1 Sc1 Si1 Pd1'
_cell_length_a 4.5982
_cell_length_b 4.5982
_cell_length_c 4.5982
_cell_angle_alpha 60.00
_cell_angle_beta 60.00
_cell_angle_gamma 60.00
_space_group_name_H-M_alt 'P 1'
_space_group_IT_number 1
_space_group_name_Hall 'P 1'
loop_
_atom_site_label
_atom_site_type_symbol
_atom_site_fract_x
_atom_site_fract_y
_atom_site_fract_z
Pd1 Pd 0.5000 0.5000 0.5000
Mg1 Mg 0.7500 0.7500 0.7500
Sc1 Sc 0.2500 0.2500 0.2500
Si1 Si 0.0000 0.0000 0.0000
```

4.
# SmMgScPd

An optimized crystal structure of SmMgScPd (PBE-GGA, Alexandria).

Calculated values
The total energy is -4.812 eV/atom. The formation energy comes out at -352 meV per atom.

Structure (CIF):
```
data_SmMgScPd
_chemical_formula_sum 'Sm1 Mg1 Sc1 Pd1'
_cell_length_a 5.0462
_cell_length_b 5.0462
_cell_length_c 5.0462
_cell_angle_alpha 60.00
_cell_angle_beta 60.00
_cell_angle_gamma 60.00
_space_group_name_H-M_alt 'P 1'
_space_group_IT_number 1
_space_group_name_Hall 'P 1'
loop_
_atom_site_label
_atom_site_type_symbol
_atom_site_fract_x
_atom_site_fract_y
_atom_site_fract_z
Sc1 Sc 0.2500 0.2500 0.2500
Mg1 Mg 0.5000 0.5000 0.5000
Sm1 Sm 0.7500 0.7500 0.7500
Pd1 Pd 0.0000 0.0000 0.0000
```

5.
# MgSc2SnPd

An optimized crystal structure of MgSc2SnPd (PBE-GGA, Alexandria).

Calculated values
The total energy is -4.436 eV/atom. The formation energy comes out at 255 meV per atom.

Structure (CIF):
```
data_MgSc2SnPd
_chemical_formula_sum 'Mg1 Sc2 Sn1 Pd1'
_cell_length_a 5.3632
_cell_length_b 4.9866
_cell_length_c 5.3632
_cell_angle_alpha 90.00
_cell_angle_beta 90.00
_cell_angle_gamma 90.00
_space_group_name_H-M_alt 'P 1'
_space_group_IT_number 1
_space_group_name_Hall 'P 1'
loop_
_atom_site_label
_atom_site_type_symbol
_atom_site_fract_x
_atom_site_fract_y
_atom_site_fract_z
Sc1 Sc 0.0000 0.0000 0.5000
Sn1 Sn 0.0000 0.0000 0.0000
Pd1 Pd 0.0000 0.5000 0.0000
Sc2 Sc 0.5000 0.0000 0.0000
Mg1 Mg 0.5000 0.5000 0.5000
```

6.
# MgScSnPd

An optimized crystal structure of MgScSnPd (PBE-GGA, Alexandria).

Calculated values
The total energy is -4.883 eV/atom. The formation energy comes out at -602 meV per atom.

Structure (CIF):
```
data_MgScSnPd
_chemical_formula_sum 'Mg1 Sc1 Sn1 Pd1'
_cell_length_a 4.8043
_cell_length_b 4.8043
_cell_length_c 4.8043
_cell_angle_alpha 60.00
_cell_angle_beta 60.00
_cell_angle_gamma 60.00
_space_group_name_H-M_alt 'P 1'
_space_group_IT_number 1
_space_group_name_Hall 'P 1'
loop_
_atom_site_label
_atom_site_type_symbol
_atom_site_fract_x
_atom_site_fract_y
_atom_site_fract_z
Pd1 Pd 0.0000 0.0000 0.0000
Mg1 Mg 0.7500 0.7500 0.7500
Sn1 Sn 0.5000 0.5000 0.5000
Sc1 Sc 0.2500 0.2500 0.2500
```